Entry 1:
DFT (GGA-PBE) results for CeMo4N6 after structural relaxation.

Properties
- Energy relative to the elements, uncorrected: -572 meV/atom
- M_tot: 0.12 μB/cell
- DFT total energy: -211.0 eV for the cell shown

Lattice parameters (Å, degrees): 3.286 5.190 15.133 90.00 90.00 108.45
Site moments in Bohr magnetons follow the coordinates.
Element x y z (fractional)
Ce: 0.654 0.309 0.250  0.07
Ce: 0.346 0.691 0.750  0.07
N: 0.030 0.061 0.153  0.00
N: 0.248 0.497 0.593  0.00
N: 0.752 0.503 0.093  0.00
N: 0.345 0.691 0.250  0.00
N: 0.500 0.000 0.500  0.00
N: 0.500 0.000 0.000  0.00
N: 0.970 0.939 0.847  0.00
N: 0.248 0.497 0.907  0.00
N: 0.030 0.061 0.347  0.00
N: 0.970 0.939 0.653  0.00
N: 0.655 0.309 0.750  0.00
N: 0.752 0.503 0.407  0.00
Mo: 0.847 0.693 0.542  0.00
Mo: 0.153 0.307 0.458  0.00
Mo: 0.609 0.218 0.875  0.00
Mo: 0.609 0.218 0.625  0.00
Mo: 0.391 0.782 0.375  0.00
Mo: 0.153 0.307 0.042  0.00
Mo: 0.847 0.693 0.958  0.00
Mo: 0.391 0.782 0.125  0.00

---

Entry 2:
DFT (GGA-PBE) results for RbLi3Ag4Cl12 after structural relaxation.

Properties
- Energy relative to the elements, uncorrected: -913 meV/atom
- M_tot: 0.00 μB/cell
- DFT total energy: -58.5 eV for the cell shown

Lattice parameters (Å, degrees): 8.444 8.444 8.444 109.47 109.47 109.47
Element x y z (fractional)
Cl: 0.312 0.183 0.494
Cl: 0.688 0.817 0.506
Cl: 0.871 0.688 0.183
Cl: 0.494 0.312 0.183
Cl: 0.506 0.688 0.817
Cl: 0.129 0.312 0.817
Cl: 0.183 0.871 0.688
Cl: 0.817 0.506 0.688
Cl: 0.312 0.817 0.129
Cl: 0.688 0.183 0.871
Cl: 0.183 0.494 0.312
Cl: 0.817 0.129 0.312
Rb: 0.000 0.000 0.000
Li: 0.500 0.000 0.500
Li: 0.000 0.500 0.500
Li: 0.500 0.500 0.000
Ag: 0.500 0.000 0.000
Ag: 0.000 0.000 0.500
Ag: 0.000 0.500 0.000
Ag: 0.500 0.500 0.500

---

Entry 3:
DFT (GGA-PBE) results for SnP2H after structural relaxation.

Properties
- M_tot: 0.00 μB/cell
- DFT total energy: -14.8 eV for the cell shown

Lattice parameters (Å, degrees): 4.487 4.487 4.487 60.00 60.00 60.00
Element x y z (fractional)
Sn: 0.500 0.500 0.500
P: 0.750 0.750 0.750
P: 0.250 0.250 0.250
H: 0.000 0.000 0.000

---

Entry 4:
DFT (GGA-PBE) results for Na3Cd5Hg after structural relaxation.

Properties
- DFT formation energy: 0.01 eV per atom
- M_tot: 0.00 μB/cell
- DFT total energy: -17.4 eV for the cell shown

Lattice parameters (Å, degrees): 9.111 9.111 8.766 121.31 121.31 90.00
Element x y z (fractional)
Hg: 0.750 0.250 0.500
Hg: 0.250 0.750 0.500
Cd: 0.940 0.440 0.273
Cd: 0.440 0.334 0.273
Cd: 0.500 0.500 0.000
Cd: 0.060 0.560 0.727
Cd: 0.334 0.834 0.273
Cd: 0.666 0.166 0.727
Cd: 0.000 0.000 0.000
Cd: 0.834 0.940 0.273
Cd: 0.166 0.060 0.727
Cd: 0.560 0.666 0.727
Na: 0.888 0.612 0.000
Na: 0.612 0.112 0.000
Na: 0.112 0.388 0.000
Na: 0.750 0.750 0.500
Na: 0.250 0.250 0.500
Na: 0.388 0.888 0.000

---

Entry 5:
DFT (GGA-PBE) results for Y5Pu2Ru5 after structural relaxation.

Properties
- DFT formation energy: -0.17 eV per atom
- M_tot: 9.53 μB/cell
- DFT total energy: -109.4 eV for the cell shown

Lattice parameters (Å, degrees): 5.229 5.228 12.373 77.45 77.45 54.38
Site moments in Bohr magnetons follow the coordinates.
Element x y z (fractional)
Ru: 0.131 0.131 0.578  -0.23
Ru: 0.000 0.000 0.000  -0.24
Ru: 0.715 0.714 0.199  -0.36
Ru: 0.285 0.286 0.801  -0.36
Ru: 0.869 0.869 0.422  -0.23
Y: 0.240 0.240 0.346  0.11
Y: 0.760 0.760 0.654  0.11
Y: 0.324 0.324 0.056  0.12
Y: 0.500 0.500 0.500  0.06
Y: 0.676 0.676 0.944  0.12
Pu: 0.991 0.992 0.214  4.79
Pu: 0.009 0.008 0.786  4.79

---

Entry 6:
DFT (GGA-PBE) results for Pr4Dy9Er11 after structural relaxation.

Properties
- DFT formation energy: 0.06 eV per atom
- M_tot: 0.02 μB/cell
- DFT total energy: -109.2 eV for the cell shown

Lattice parameters (Å, degrees): 3.690 15.026 15.026 112.66 90.00 90.00
Element x y z (fractional)
Er: 0.000 0.841 0.159
Er: 0.000 0.000 0.000
Er: 0.000 0.159 0.841
Er: 0.000 0.044 0.407
Er: 0.000 0.407 0.044
Er: 0.000 0.363 0.637
Er: 0.000 0.956 0.593
Er: 0.000 0.284 0.284
Er: 0.000 0.716 0.716
Er: 0.000 0.637 0.363
Er: 0.000 0.593 0.956
Dy: 0.500 0.162 0.635
Dy: 0.500 0.365 0.838
Dy: 0.500 0.065 0.211
Dy: 0.500 0.500 0.500
Dy: 0.500 0.935 0.789
Dy: 0.500 0.211 0.065
Dy: 0.500 0.635 0.162
Dy: 0.500 0.789 0.935
Dy: 0.500 0.838 0.365
Pr: 0.500 0.754 0.554
Pr: 0.500 0.446 0.246
Pr: 0.500 0.554 0.754
Pr: 0.500 0.246 0.446

---

Entry 7:
DFT (GGA-PBE) results for TlOs2Se after structural relaxation.

Properties
- Energy relative to the elements, uncorrected: 1376 meV/atom
- M_tot: 0.00 μB/cell
- DFT total energy: -45.6 eV for the cell shown

Lattice parameters (Å, degrees): 6.186 6.186 6.602 62.07 62.07 90.00
Element x y z (fractional)
Tl: 0.750 0.250 0.500
Tl: 0.000 0.000 0.000
Se: 0.500 0.500 0.000
Se: 0.250 0.750 0.500
Os: 0.176 0.625 0.250
Os: 0.375 0.426 0.750
Os: 0.875 0.824 0.750
Os: 0.574 0.125 0.250

---

Entry 8:
DFT (GGA-PBE) results for BaSr6Ca8 after structural relaxation.

Properties
- DFT formation energy: 0.03 eV per atom
- M_tot: 0.00 μB/cell
- DFT total energy: -27.6 eV for the cell shown

Lattice parameters (Å, degrees): 7.079 7.079 17.216 78.14 78.14 60.00
Element x y z (fractional)
Sr: 0.405 0.732 0.794
Sr: 0.732 0.069 0.794
Sr: 0.931 0.595 0.206
Sr: 0.268 0.931 0.206
Sr: 0.595 0.268 0.206
Sr: 0.069 0.405 0.794
Ca: 0.136 0.801 0.594
Ca: 0.531 0.864 0.406
Ca: 0.801 0.469 0.594
Ca: 0.864 0.199 0.406
Ca: 0.667 0.667 0.000
Ca: 0.333 0.333 0.000
Ca: 0.199 0.531 0.406
Ca: 0.469 0.136 0.594
Ba: 0.000 0.000 0.000